1.
Compound: AcPrNdEr2
Source: Alexandria
Functional: PBE-GGA
Structure: relaxed

a = 6.607 Å, b = 17.532 Å, c = 6.479 Å
α = 90.00°, β = 90.00°, γ = 90.00°
Space group Cmcm (No. 63)
Symmetry-distinct sites (fractional):
Ac  0.000  0.156  0.250 [4 per cell]
Pr  0.000  0.348  0.250 [4 per cell]
Nd  0.000  0.282  0.750 [4 per cell]
Er  0.243  0.500  0.000 [8 per cell]

Properties
**Total magnetic moment**: 0.00 μB/f.u.
**Formation energy from the elements**: 348 meV/atom
**Density**: 7.5 g cm⁻³

2.
Compound: KRePt
Source: Alexandria
Functional: PBE-GGA
Structure: relaxed

a = 4.7245 Å, b = 4.7245 Å, c = 6.2451 Å
α = 90.00°, β = 90.00°, γ = 120.00°
Space group P6_3mc (No. 186)
Symmetry-distinct sites (fractional):
K  0.0000  0.0000  0.0000 [2 per cell]
Re  0.3333  0.6667  0.3106 [2 per cell]
Pt  0.3333  0.6667  0.7210 [2 per cell]

Properties
**Energy relative to the lowest polymorph listed for this composition**: 1087 meV per atom
**Total magnetic moment**: 0.00 μB/f.u.
**Formation energy from the elements**: 1315 meV/atom
**Density**: 11.6 g cm⁻³

3.
Compound: Dy6Ho5Er
Source: Alexandria
Functional: PBE-GGA
Structure: relaxed

a = 4.976 Å, b = 9.954 Å, c = 14.970 Å
α = 90.00°, β = 90.00°, γ = 90.00°
Space group Immm (No. 71)
Symmetry-distinct sites (fractional):
Dy  0.000  0.250  0.000 [4 per cell]
Dy  0.000  0.250  0.333 [8 per cell]
Ho  0.000  0.000  0.167 [4 per cell]
Ho  0.000  0.000  0.500 [2 per cell]
Ho  0.000  0.500  0.167 [4 per cell]
Er  0.000  0.500  0.500 [2 per cell]

Properties
**Total magnetic moment**: 0.00 μB/f.u.
**Formation energy from the elements**: 19 meV/atom
**Density**: 8.8 g cm⁻³

> What is the formation energy from the elements in the second record?

1315 meV/atom

> What is the formula in the first record?

AcPrNdEr2

> What is the formula in the second record?

KRePt

> Which value of density does entry 2 give?

11.6 g cm⁻³